(1)
DyScTe2 | GGA-PBE | optimized geometry

Geometry as POSCAR:
```
DyScTe2
1.0
4.1225 0.0000 0.0000
-2.0612 3.5701 0.0000
0.0000 0.0000 22.2951
Dy Sc Te
3 3 6
Direct
0.0000 0.0000 0.0000
0.3333 0.6667 0.6667
0.6667 0.3333 0.3333
0.0000 0.0000 0.1726
0.3333 0.6667 0.8393
0.6667 0.3333 0.5059
0.0000 0.0000 0.5801
0.0000 0.0000 0.7579
0.3333 0.6667 0.2468
0.3333 0.6667 0.4245
0.6667 0.3333 0.0912
0.6667 0.3333 0.9134
```

Computed properties:
Final energy   -22.12 eV/f.u.
Raw formation energy   -28.24 kcal/mol of atoms
Space group   R3m, No. 160
Distance to the lowest polymorph of the same formula   11.6 meV per atom

(2)
Pm2Nd2Tm5 | GGA-PBE | optimized geometry

Geometry as POSCAR:
```
Pm2Nd2Tm5
1.0
-7.4777 5.9089 3.3613
7.4777 -5.9089 3.3613
7.4777 5.9089 -3.3613
Pm Nd Tm
4 4 10
Direct
0.0063 0.1268 0.1331
0.0063 0.3732 0.3795
0.9937 0.6268 0.6205
0.9937 0.8732 0.8669
0.4387 0.7000 0.2387
0.4612 0.2000 0.7613
0.5529 0.0529 0.5000
0.5529 0.5529 0.0000
0.1118 0.2981 0.7062
0.1118 0.9056 0.3138
0.3997 0.4017 0.4980
0.4270 0.0206 0.1228
0.4270 0.8042 0.9063
0.5919 0.4056 0.2938
0.5919 0.7981 0.6862
0.8978 0.3042 0.8772
0.8978 0.5206 0.0937
0.9038 0.9017 0.5020
```

Computed properties:
Final energy   -39.53 eV/f.u.
Calculated formation energy   0.207 eV/atom
Space group   Ima2, No. 46
Distance to the lowest polymorph of the same formula   124.2 meV per atom

Number 1: density 7.0 g/cm3. Number 2: density 8.0 g/cm3.